CaMg2Sc | PBE | relaxed

Summary:
Crystal system: monoclinic
Energy relative to the elements in eV/atom: -0.01

a b c (Å): 7.5637 7.6026 3.7097
angles (deg): 90.00 90.11 90.00
With the nearest neighbours (Å) after each atom.
Space group C2/m (No. 12)
Unique sites:
Ca  0.0000  0.0000  0.0000  8 Mg 3.26
Mg  0.2500  0.2500  0.5000  4 Sc 3.26, 4 Ca 3.26
Sc  0.0000  0.5000  0.0000  8 Mg 3.26


Ta3AgN | PBE | relaxed

Summary:
Formation energy (no corrections) in eV/atom: -0.25
E above lowest polymorph in meV/atom: 0.0
Crystal system: cubic

a b c (Å): 4.2626 4.2626 4.2626
angles (deg): 90.00 90.00 90.00
With the nearest neighbours (Å) after each atom.
Space group Pm-3m (No. 221)
Unique sites:
Ta  0.0000  0.0000  0.5000  2 N 2.13
Ag  0.5000  0.5000  0.5000  12 Ta 3.01
N  0.0000  0.0000  0.0000  6 Ta 2.13


BaCa3Pd | PBE | relaxed

Summary:
E above lowest polymorph in meV/atom: 92.7
Crystal system: monoclinic
Energy relative to the elements in eV/atom: -0.22

a b c (Å): 15.8412 12.6938 7.8951
angles (deg): 90.00 104.57 90.00
With the nearest neighbours (Å) after each atom.
Space group C2/c (No. 15)
Unique sites:
Ba  0.0000  0.1384  0.2500  2 Pd 3.57, 2 Ca 3.86
Ba  0.0000  0.2515  0.7500  2 Pd 3.25
Ca  0.0920  0.4409  0.4459  2 Pd 3.08-3.10
Ca  0.2107  0.1446  0.6245  1 Pd 2.88
Ca  0.2324  0.1325  0.1031  2 Pd 3.12-3.16
Pd  0.1264  0.3388  0.1128  5 Ca 2.88-3.16


| no. | VASP energy (eV for the cell shown) |
| --- | --- |
| 1 | -23.148 |
| 2 | -47.981 |
| 3 | -113.704 |